# Ti5AuN

A relaxed structure of Ti5AuN (PBE, Alexandria).

The symmetry is C2/c (15). As for the formation energy (no corrections): -584 meV/atom.

Lattice parameters (Å, degrees): 5.4823 5.4823 9.0237 66.05 66.05 61.78
Closest atoms and distances in Å follow each position.
Positions (direct):
1 Ti 0.0277 0.5928 0.0984  1 N 1.99
2 Ti 0.1183 0.5659 0.5742  1 N 2.03
3 Ti 0.5928 0.0277 0.5984  1 N 1.99
4 Ti 0.9998 0.0002 0.2500  2 N 2.26
5 Ti 0.4341 0.8817 0.9258  1 N 2.03
6 Ti 0.5659 0.1183 0.0742  1 N 2.03
7 Ti 0.0002 0.9998 0.7500  2 N 2.26
8 Ti 0.4072 0.9723 0.4016  1 N 1.99
9 Ti 0.8817 0.4341 0.4258  1 N 2.03
10 Ti 0.9723 0.4072 0.9016  1 N 1.99
11 Au 0.4943 0.5057 0.2500  8 Ti 2.78-2.94
12 Au 0.5057 0.4943 0.7500  8 Ti 2.78-2.94
13 N 0.0000 0.0000 0.0000  4 Ti 1.99-2.03
14 N 0.0000 0.0000 0.5000  4 Ti 1.99-2.03



# Ba2In2Ge

A relaxed structure of Ba2In2Ge (PBE, Alexandria).

The symmetry is C2/m (12). The calculation puts the energy above the most stable polymorph in this dataset at 0.000 eV/atom. The value obtained for the formation energy is -2.28 eV/f.u.

Lattice parameters (Å, degrees): 4.5852 7.0459 12.1218 79.18 79.10 71.01
Closest atoms and distances in Å follow each position.
Positions (direct):
1 Ba 0.7108 0.2130 0.3655  3 Ge 3.47-3.69, 5 In 3.66-3.84
2 Ba 0.9015 0.3010 0.8960  6 In 3.43-3.78, 2 Ge 3.68
3 Ba 0.2892 0.7870 0.6345  3 Ge 3.47-3.69, 5 In 3.66-3.84
4 Ba 0.0985 0.6990 0.1040  6 In 3.43-3.78, 2 Ge 3.68
5 In 0.0132 0.3688 0.6049  2 Ge 2.76, 1 In 2.85
6 In 0.6265 0.8718 0.8753  1 Ge 2.82
7 In 0.9868 0.6312 0.3951  2 Ge 2.76, 1 In 2.85
8 In 0.3735 0.1282 0.1247  1 Ge 2.82
9 Ge 0.5812 0.1592 0.6783  3 In 2.76-2.82
10 Ge 0.4188 0.8408 0.3217  3 In 2.76-2.82



# MgAlBi

A relaxed structure of MgAlBi (PBE, Alexandria).

The symmetry is C2/m (12). The calculation puts the energy above the most stable polymorph in this dataset at 0.000 eV/atom. The value obtained for the formation energy is 0.12 eV/f.u.

Lattice parameters (Å, degrees): 5.2621 4.6828 8.4344 91.47 71.82 55.82
Closest atoms and distances in Å follow each position.
Positions (direct):
1 Mg 0.6929 0.3143 0.2999  4 Al 2.81-3.13, 2 Bi 2.91
2 Mg 0.3071 0.6857 0.7001  4 Al 2.81-3.13, 2 Bi 2.91
3 Al 0.7981 0.8740 0.5299  4 Mg 2.81-3.13, 3 Al 2.81-2.89, 2 Bi 2.94-3.10
4 Al 0.2019 0.1260 0.4701  4 Mg 2.81-3.13, 3 Al 2.81-2.89, 2 Bi 2.94-3.10
5 Bi 0.2277 0.3878 0.1569  2 Mg 2.91, 2 Al 2.94-3.10
6 Bi 0.7723 0.6122 0.8431  2 Mg 2.91, 2 Al 2.94-3.10



# RbTl4Hg4

A relaxed structure of RbTl4Hg4 (PBE, Alexandria).

The symmetry is I4/mmm (139). The calculation puts the energy above the most stable polymorph in this dataset at 0.000 eV/atom. The value obtained for the formation energy is -0.67 eV/f.u.

Lattice parameters (Å, degrees): 4.0749 8.5758 8.5758 86.76 76.26 76.26
Closest atoms and distances in Å follow each position.
Positions (direct):
1 Rb 0.0000 0.0000 0.0000  8 Hg 3.63, 4 Tl 3.89
2 Tl 0.0000 0.6697 0.3303  6 Hg 3.43-3.77, 4 Tl 3.48
3 Tl 0.0000 0.3303 0.6697  6 Hg 3.43-3.77, 4 Tl 3.48
4 Tl 0.6697 0.3303 0.3303  6 Hg 3.43-3.77, 4 Tl 3.48
5 Tl 0.3303 0.6697 0.6697  6 Hg 3.43-3.77, 4 Tl 3.48
6 Hg 0.3196 0.3608 0.0000  2 Hg 3.09, 4 Tl 3.43
7 Hg 0.6804 0.6392 0.0000  2 Hg 3.09, 4 Tl 3.43
8 Hg 0.6804 0.0000 0.6392  2 Hg 3.09, 4 Tl 3.43
9 Hg 0.3196 0.0000 0.3608  2 Hg 3.09, 4 Tl 3.43



# TcPtS2

A relaxed structure of TcPtS2 (PBE, Alexandria).

The symmetry is R-3m (166). The calculation puts the energy above the most stable polymorph in this dataset at 0.470 eV/atom. As for the formation energy (no corrections): 249 meV/atom.

Lattice parameters (Å, degrees): 7.6144 7.6144 7.6144 25.27 25.27 25.27
Closest atoms and distances in Å follow each position.
Positions (direct):
1 S 0.8984 0.8984 0.8984  1 Tc 2.25, 3 Pt 2.40
2 S 0.1016 0.1016 0.1016  1 Tc 2.25, 3 Pt 2.40
3 Tc 0.0000 0.0000 0.0000  2 S 2.25
4 Pt 0.5000 0.5000 0.5000  6 S 2.40



# Cs3InBr6

A relaxed structure of Cs3InBr6 (PBE, Alexandria).

The symmetry is R-3 (148). As for the formation energy (no corrections): -1424 meV/atom.

Lattice parameters (Å, degrees): 9.8901 9.8901 9.8901 90.89 90.89 90.89
Closest atoms and distances in Å follow each position.
Positions (direct):
1 Cs 0.4334 0.9296 0.7519  6 Br 3.62-3.69
2 Cs 0.9296 0.7519 0.4334  6 Br 3.62-3.69
3 Cs 0.2481 0.5666 0.0704  6 Br 3.62-3.69
4 Cs 0.7519 0.4334 0.9296  6 Br 3.62-3.69
5 Cs 0.0704 0.2481 0.5666  6 Br 3.62-3.69
6 Cs 0.5666 0.0704 0.2481  6 Br 3.62-3.69
7 In 0.0000 0.0000 0.0000  6 Br 2.74
8 In 0.5000 0.5000 0.5000  6 Br 2.74
9 Br 0.2589 0.9399 0.0791  1 In 2.74
10 Br 0.0601 0.9209 0.7411  1 In 2.74
11 Br 0.5631 0.7655 0.4517  1 In 2.74
12 Br 0.9209 0.7411 0.0601  1 In 2.74
13 Br 0.4517 0.5631 0.7655  1 In 2.74
14 Br 0.2345 0.5483 0.4369  1 In 2.74
15 Br 0.7655 0.4517 0.5631  1 In 2.74
16 Br 0.5483 0.4369 0.2345  1 In 2.74
17 Br 0.0791 0.2589 0.9399  1 In 2.74
18 Br 0.4369 0.2345 0.5483  1 In 2.74
19 Br 0.9399 0.0791 0.2589  1 In 2.74
20 Br 0.7411 0.0601 0.9209  1 In 2.74



# Cd2SeS

A relaxed structure of Cd2SeS (PBE, Alexandria).

The symmetry is Fm-3m (225). The calculation puts the energy above the most stable polymorph in this dataset at 0.624 eV/atom. As for the formation energy (no corrections): -6 meV/atom.

Lattice parameters (Å, degrees): 4.9257 4.9257 4.9257 60.00 60.00 60.00
Closest atoms and distances in Å follow each position.
Positions (direct):
1 S 0.0000 0.0000 0.0000  8 Cd 3.02
2 Se 0.5000 0.5000 0.5000  8 Cd 3.02
3 Cd 0.2500 0.2500 0.2500  4 S 3.02, 4 Se 3.02
4 Cd 0.7500 0.7500 0.7500  4 S 3.02, 4 Se 3.02



# VCo4Tc

A relaxed structure of VCo4Tc (PBE, Alexandria).

The symmetry is F-43m (216). The calculation puts the energy above the most stable polymorph in this dataset at 0.000 eV/atom. The value obtained for the formation energy is 0.14 eV/f.u.

Lattice parameters (Å, degrees): 4.6618 4.6618 4.6618 60.00 60.00 60.00
Closest atoms and distances in Å follow each position.
Positions (direct):
1 Co 0.6248 0.6248 0.1256  6 Co 2.33
2 Co 0.6248 0.1256 0.6248  6 Co 2.33
3 Co 0.6248 0.6248 0.6248  6 Co 2.33
4 Co 0.1256 0.6248 0.6248  6 Co 2.33
5 Tc 0.0000 0.0000 0.0000  12 Co 2.73, 4 V 2.85
6 V 0.2500 0.2500 0.2500  12 Co 2.73, 4 Tc 2.85